# 1
The following is a GGA-PBE calculation of a geometry-optimized Ba2MnSi structure, from the Alexandria database.

Cell: 5.7655 5.7655 4.0125 Å, 90.00 90.00 90.13°
Site moments in Bohr magnetons follow the coordinates.
Fractional positions:
Mn (0.5000, 0.0000, 0.5000)  4.07
Ba (0.0000, 0.0000, 0.0000)  -0.03
Si (0.0000, 0.5000, 0.5000)  0.05
Ba (0.5000, 0.5000, 0.0000)  -0.03

Output
Space-group type = Cmmm (65)
Fermi-level density of states = 4.04 states/eV per cell
Uncorrected formation energy = 0.3148 eV per atom
Magnetization = 1.09 μB/atom

# 2
The following is a GGA-PBE calculation of a geometry-optimized UNbS2 structure, from the Alexandria database.

Cell: 3.3533 3.3533 8.8348 Å, 79.06 79.06 60.00°
Site moments in Bohr magnetons follow the coordinates.
Fractional positions:
S (0.9068, 0.9068, 0.2796)  -0.04
Nb (0.0000, 0.0000, 0.0000)  0.01
U (0.5000, 0.5000, 0.5000)  1.84
S (0.0932, 0.0932, 0.7204)  -0.04

Output
Space-group type = R-3m (166)
Fermi-level density of states = 6.62 states/eV per cell
Uncorrected formation energy = -0.4191 eV per atom
Magnetization = 0.50 μB/atom

# 3
The following is a GGA-PBE calculation of a geometry-optimized BaPaPt10 structure, from the Alexandria database.

Cell: 4.4360 5.4941 9.4340 Å, 90.00 90.00 90.00°
Fractional positions:
Pt (0.5000, 0.7423, 0.7375)
Pt (0.5000, 0.2577, 0.2625)
Pt (0.0000, 0.5000, 0.1857)
Pt (0.5000, 0.7423, 0.2625)
Pt (0.5000, 0.5000, 0.0000)
Pt (0.5000, 0.2577, 0.7375)
Pt (0.0000, 0.5000, 0.8143)
Pa (0.0000, 0.5000, 0.5000)
Pt (0.5000, 0.0000, 0.5000)
Pt (0.0000, 0.0000, 0.6580)
Pt (0.0000, 0.0000, 0.3420)
Ba (0.0000, 0.0000, 0.0000)

Output
Space-group type = Pmmm (47)
Energy of formation from the pure elements = -0.58 eV/atom
Fermi-level density of states = 9.82 states/eV per cell
Magnetization = 0.00 μB/atom

# 4
The following is a GGA-PBE calculation of a geometry-optimized Be2AuSe structure, from the Alexandria database.

Cell: 3.7974 3.7974 6.3127 Å, 90.00 90.00 126.85°
Fractional positions:
Be (0.0000, 0.0000, 0.4934)
Be (0.0000, 0.0000, 0.0066)
Se (0.5000, 0.5000, 0.2500)
Au (0.5000, 0.5000, 0.7500)

Output
Space-group type = Cmmm (65)
Fermi-level density of states = 1.01 states/eV per cell
Uncorrected formation energy = 0.2263 eV per atom
Magnetization = 0.00 μB/atom

# 5
The following is a GGA-PBE calculation of a geometry-optimized MgTcSn2 structure, from the Alexandria database.

Cell: 7.9617 7.9617 6.3409 Å, 51.11 51.11 90.00°
Site moments in Bohr magnetons follow the coordinates.
Fractional positions:
Mg (0.2500, 0.7500, 0.5000)  0.00
Sn (0.6659, 0.1250, 0.2500)  -0.03
Tc (0.7500, 0.2500, 0.5000)  1.05
Sn (0.3750, 0.3341, 0.7500)  -0.02
Sn (0.8750, 0.9159, 0.7500)  -0.02
Tc (0.0000, 0.0000, 0.0000)  1.04
Mg (0.5000, 0.5000, 0.0000)  0.00
Sn (0.0841, 0.6250, 0.2500)  -0.03

Output
Space-group type = I-42d (122)
Energy of formation from the pure elements = 0.43 eV/atom
Fermi-level density of states = 4.71 states/eV per cell
Magnetization = 0.27 μB/atom

# 6
The following is a GGA-PBE calculation of a geometry-optimized SiHg2Te structure, from the Alexandria database.

Cell: 3.5523 3.5523 8.8215 Å, 90.00 90.00 90.00°
Fractional positions:
Hg (0.0000, 0.0000, 0.0067)
Hg (0.5000, 0.5000, 0.2713)
Si (0.0000, 0.0000, 0.5391)
Te (0.5000, 0.5000, 0.6829)

Output
Space-group type = P4mm (99)
Fermi-level density of states = 2.22 states/eV per cell
Uncorrected formation energy = 0.2532 eV per atom
Magnetization = 0.00 μB/atom

# 7
The following is a GGA-PBE calculation of a geometry-optimized Rb3Sm3MoS8 structure, from the Alexandria database.

Cell: 8.0334 8.0334 9.1228 Å, 116.15 90.00 120.00°
Site moments in Bohr magnetons follow the coordinates.
Fractional positions:
S (0.7888, 0.5776, 0.3189)  0.00
Sm (0.5000, 0.0000, 0.5000)  0.02
S (0.7590, 0.9701, 0.6811)  0.00
S (0.2112, 0.4224, 0.6811)  0.00
Mo (0.0000, 0.0000, 0.5000)  1.66
S (0.2675, 0.5351, 0.3028)  0.00
Sm (0.0000, 0.5000, 0.5000)  0.02
S (0.2410, 0.0299, 0.3189)  0.00
Rb (0.0000, 0.0000, 0.0000)  0.00
Sm (0.5000, 0.5000, 0.5000)  0.02
Rb (0.0000, 0.5000, 0.0000)  0.00
Rb (0.5000, 0.5000, 0.0000)  0.00
S (0.7325, 0.4649, 0.6972)  0.00
S (0.7889, 0.0299, 0.3189)  0.00
S (0.2111, 0.9701, 0.6811)  0.00

Output
Space-group type = R-3m (166)
Fermi-level density of states = 6.47 states/eV per cell
Uncorrected formation energy = -1.5029 eV per atom
Magnetization = 0.13 μB/atom

# 8
The following is a GGA-PBE calculation of a geometry-optimized Li4As5 structure, from the Alexandria database.

Cell: 7.8854 7.8854 5.7253 Å, 90.00 90.00 120.00°
Fractional positions:
As (0.0000, 0.3212, 0.7500)
Li (0.6487, 0.0000, 0.7500)
Li (0.3513, 0.0000, 0.2500)
As (0.3212, 0.0000, 0.7500)
Li (0.0000, 0.6487, 0.7500)
As (0.6667, 0.3333, 0.0000)
As (0.3333, 0.6667, 0.0000)
As (0.3333, 0.6667, 0.5000)
Li (0.0000, 0.0000, 0.0000)
As (0.6788, 0.6788, 0.7500)
As (0.0000, 0.6788, 0.2500)
Li (0.6487, 0.6487, 0.2500)
As (0.3212, 0.3212, 0.2500)
As (0.6667, 0.3333, 0.5000)
As (0.6788, 0.0000, 0.2500)
Li (0.3513, 0.3513, 0.7500)
Li (0.0000, 0.0000, 0.5000)
Li (0.0000, 0.3513, 0.2500)

Output
Space-group type = P6_3/mcm (193)
Energy of formation from the pure elements = -0.20 eV/atom
Fermi-level density of states = 4.96 states/eV per cell
Magnetization = 0.00 μB/atom

The highest magnetization belongs to which entry?
Ba2MnSi